Density functional theory data (GGA-PBE) for an optimized crystal structure of RbLi2UBr6.

```
data_RbLi2UBr6
_cell_length_a 10.043
_cell_length_b 10.043
_cell_length_c 8.515
_cell_angle_alpha 107.67
_cell_angle_beta 107.67
_cell_angle_gamma 84.49
_space_group_name_H-M_alt 'P 1'
_space_group_IT_number 1
loop_
_space_group_symop_operation_xyz
'x,y,z'
loop_
_atom_site_label
_atom_site_type_symbol
_atom_site_fract_x
_atom_site_fract_y
_atom_site_fract_z
_atom_site_occupancy
Rb1 Rb 0.091 0.909 0.750 1
Rb2 Rb 0.909 0.091 0.250 1
Li1 Li 0.233 0.373 0.881 1
Li2 Li 0.373 0.233 0.381 1
Li3 Li 0.627 0.767 0.619 1
Li4 Li 0.767 0.627 0.119 1
U1 U 0.280 0.720 0.250 1
U2 U 0.720 0.280 0.750 1
Br1 Br 0.004 0.238 0.703 1
Br2 Br 0.190 0.622 0.879 1
Br3 Br 0.238 0.004 0.203 1
Br4 Br 0.278 0.418 0.209 1
Br5 Br 0.378 0.810 0.621 1
Br6 Br 0.418 0.278 0.709 1
Br7 Br 0.582 0.722 0.291 1
Br8 Br 0.622 0.190 0.379 1
Br9 Br 0.722 0.582 0.791 1
Br10 Br 0.762 0.996 0.797 1
Br11 Br 0.810 0.378 0.121 1
Br12 Br 0.996 0.762 0.297 1
```

**Spin magnetization**: 3.0 μB per formula unit
**Symmetry**: C2/c, No. 15
**Crystal system**: monoclinic
**Total DFT energy (no corrections)**: -4.071 eV per atom
**Energy relative to the elements, uncorrected**: -1459.0 meV per atom